No. 1
# Hf2TlPb | the Alexandria database | GGA-PBE | optimized geometry
data_Hf2TlPb
_cell_length_a 7.9777
_cell_length_b 7.9777
_cell_length_c 6.4502
_cell_angle_alpha 51.80
_cell_angle_beta 51.80
_cell_angle_gamma 90.00
_space_group_name_H-M_alt 'P 1'
_space_group_IT_number 1
_space_group_name_Hall 'P 1'
loop_
_atom_site_label
_atom_site_type_symbol
_atom_site_fract_x
_atom_site_fract_y
_atom_site_fract_z
_atom_site_occupancy
Hf1 Hf 0.6238 0.1250 0.2500 1
Hf2 Hf 0.8750 0.8738 0.7500 1
Hf3 Hf 0.1262 0.6250 0.2500 1
Hf4 Hf 0.3750 0.3762 0.7500 1
Tl1 Tl 0.5000 0.5000 0.0000 1
Tl2 Tl 0.2500 0.7500 0.5000 1
Pb1 Pb 0.7500 0.2500 0.5000 1
Pb2 Pb 0.0000 0.0000 0.0000 1
# **Formation enthalpy at 0 K**: 0.30 eV per atom
# **Distance to the lowest polymorph of the same formula**: 188 meV/atom
# **ρ**: 12.8 Mg/m³

***

No. 2
# Mg2SiHg | the Alexandria database | GGA-PBE | optimized geometry
data_Mg2SiHg
_cell_length_a 5.4998
_cell_length_b 5.4998
_cell_length_c 5.4998
_cell_angle_alpha 135.88
_cell_angle_beta 135.88
_cell_angle_gamma 64.17
_space_group_name_H-M_alt 'P 1'
_space_group_IT_number 1
_space_group_name_Hall 'P 1'
loop_
_atom_site_label
_atom_site_type_symbol
_atom_site_fract_x
_atom_site_fract_y
_atom_site_fract_z
_atom_site_occupancy
Si1 Si 0.5000 0.5000 0.0000 1
Hg1 Hg 0.7500 0.2500 0.5000 1
Mg1 Mg 0.0000 0.0000 0.0000 1
Mg2 Mg 0.2500 0.7500 0.5000 1
# **Uncorrected formation energy**: 0.13 eV per formula unit
# **ρ**: 5.8 Mg/m³

***

No. 3
# KTe3I | the Alexandria database | GGA-PBE | optimized geometry
data_KTe3I
_cell_length_a 6.6252
_cell_length_b 6.6252
_cell_length_c 6.6252
_cell_angle_alpha 90.00
_cell_angle_beta 90.00
_cell_angle_gamma 90.00
_space_group_name_H-M_alt 'P 1'
_space_group_IT_number 1
_space_group_name_Hall 'P 1'
loop_
_atom_site_label
_atom_site_type_symbol
_atom_site_fract_x
_atom_site_fract_y
_atom_site_fract_z
_atom_site_occupancy
Te1 Te 0.0000 0.0000 0.5000 1
Te2 Te 0.5000 0.0000 0.0000 1
Te3 Te 0.0000 0.5000 0.0000 1
K1 K 0.0000 0.0000 0.0000 1
I1 I 0.5000 0.5000 0.5000 1
# **Uncorrected formation energy**: 3.86 eV per formula unit
# **Distance to the lowest polymorph of the same formula**: 630 meV/atom
# **ρ**: 3.1 Mg/m³

***

No. 4
# Co2GeH | the Alexandria database | GGA-PBE | optimized geometry
data_Co2GeH
_cell_length_a 2.7715
_cell_length_b 2.7715
_cell_length_c 5.9599
_cell_angle_alpha 76.55
_cell_angle_beta 76.55
_cell_angle_gamma 60.00
_space_group_name_H-M_alt 'P 1'
_space_group_IT_number 1
_space_group_name_Hall 'P 1'
loop_
_atom_site_label
_atom_site_type_symbol
_atom_site_fract_x
_atom_site_fract_y
_atom_site_fract_z
_atom_site_occupancy
Co1 Co 0.0600 0.0600 0.8199 1
Co2 Co 0.2713 0.2713 0.1860 1
Ge1 Ge 0.4988 0.4988 0.5035 1
H1 H 0.6698 0.6698 0.9905 1
# **Distance to the lowest polymorph of the same formula**: 86 meV/atom
# **ρ**: 8.3 Mg/m³

***

No. 5
# CuRe2Hg | the Alexandria database | GGA-PBE | optimized geometry
data_CuRe2Hg
_cell_length_a 5.3053
_cell_length_b 5.3053
_cell_length_c 4.6398
_cell_angle_alpha 74.72
_cell_angle_beta 74.72
_cell_angle_gamma 30.22
_space_group_name_H-M_alt 'P 1'
_space_group_IT_number 1
_space_group_name_Hall 'P 1'
loop_
_atom_site_label
_atom_site_type_symbol
_atom_site_fract_x
_atom_site_fract_y
_atom_site_fract_z
_atom_site_occupancy
Hg1 Hg 0.2500 0.2500 0.2500 1
Re1 Re 0.4757 0.4757 0.5179 1
Re2 Re 0.0243 0.0243 0.9821 1
Cu1 Cu 0.7500 0.7500 0.7500 1
# **Formation enthalpy at 0 K**: 0.62 eV per atom
# **ρ**: 16.7 Mg/m³

***

No. 6
# Tl2AgRu | the Alexandria database | GGA-PBE | optimized geometry
data_Tl2AgRu
_cell_length_a 4.8378
_cell_length_b 4.8386
_cell_length_c 3.3825
_cell_angle_alpha 90.00
_cell_angle_beta 90.00
_cell_angle_gamma 90.00
_space_group_name_H-M_alt 'P 1'
_space_group_IT_number 1
_space_group_name_Hall 'P 1'
loop_
_atom_site_label
_atom_site_type_symbol
_atom_site_fract_x
_atom_site_fract_y
_atom_site_fract_z
_atom_site_occupancy
Tl1 Tl 0.5000 0.5000 0.0000 1
Tl2 Tl 0.0000 0.0000 0.0000 1
Ru1 Ru 0.0000 0.5000 0.5000 1
Ag1 Ag 0.5000 0.0000 0.5000 1
# **Formation enthalpy at 0 K**: 0.48 eV per atom
# **Distance to the lowest polymorph of the same formula**: 97 meV/atom
# **ρ**: 13.0 Mg/m³

***

No. 7
# K2TeOs | the Alexandria database | GGA-PBE | optimized geometry
data_K2TeOs
_cell_length_a 4.4750
_cell_length_b 5.5390
_cell_length_c 6.4601
_cell_angle_alpha 64.64
_cell_angle_beta 90.00
_cell_angle_gamma 90.00
_space_group_name_H-M_alt 'P 1'
_space_group_IT_number 1
_space_group_name_Hall 'P 1'
loop_
_atom_site_label
_atom_site_type_symbol
_atom_site_fract_x
_atom_site_fract_y
_atom_site_fract_z
_atom_site_occupancy
Os1 Os 0.0000 0.6736 0.5279 1
K1 K 0.0000 0.9815 0.9123 1
K2 K 0.5000 0.2683 0.3379 1
Te1 Te 0.5000 0.5766 0.7219 1
# **Uncorrected formation energy**: 1.51 eV per formula unit
# **ρ**: 4.5 Mg/m³

***

No. 8
# TlPb | the Alexandria database | GGA-PBE | optimized geometry
data_TlPb
_cell_length_a 5.5152
_cell_length_b 5.5152
_cell_length_c 5.5152
_cell_angle_alpha 63.10
_cell_angle_beta 63.10
_cell_angle_gamma 63.10
_space_group_name_H-M_alt 'P 1'
_space_group_IT_number 1
_space_group_name_Hall 'P 1'
loop_
_atom_site_label
_atom_site_type_symbol
_atom_site_fract_x
_atom_site_fract_y
_atom_site_fract_z
_atom_site_occupancy
Pb1 Pb 0.6266 0.6266 0.6266 1
Pb2 Pb 0.3734 0.3734 0.3734 1
Tl1 Tl 0.1233 0.1233 0.1233 1
Tl2 Tl 0.8767 0.8767 0.8767 1
# **Formation enthalpy at 0 K**: 0.02 eV per atom
# **ρ**: 10.8 Mg/m³

***

No. 9
# LaTmTl2 | the Alexandria database | GGA-PBE | optimized geometry
data_LaTmTl2
_cell_length_a 5.4785
_cell_length_b 5.4786
_cell_length_c 5.4785
_cell_angle_alpha 59.99
_cell_angle_beta 59.99
_cell_angle_gamma 60.00
_space_group_name_H-M_alt 'P 1'
_space_group_IT_number 1
_space_group_name_Hall 'P 1'
loop_
_atom_site_label
_atom_site_type_symbol
_atom_site_fract_x
_atom_site_fract_y
_atom_site_fract_z
_atom_site_occupancy
La1 La 0.2500 0.2500 0.2500 1
Tm1 Tm 0.7500 0.7500 0.7500 1
Tl1 Tl 0.0000 0.0000 0.0000 1
Tl2 Tl 0.5000 0.5000 0.5000 1
# **Formation enthalpy at 0 K**: -0.36 eV per atom
# **ρ**: 10.2 Mg/m³

***

No. 10
# Sm3HoBi2 | the Alexandria database | GGA-PBE | optimized geometry
data_Sm3HoBi2
_cell_length_a 4.6047
_cell_length_b 4.6047
_cell_length_c 8.8273
_cell_angle_alpha 90.00
_cell_angle_beta 90.00
_cell_angle_gamma 90.00
_space_group_name_H-M_alt 'P 1'
_space_group_IT_number 1
_space_group_name_Hall 'P 1'
loop_
_atom_site_label
_atom_site_type_symbol
_atom_site_fract_x
_atom_site_fract_y
_atom_site_fract_z
_atom_site_occupancy
Bi1 Bi 0.5000 0.0000 0.7200 1
Bi2 Bi 0.0000 0.5000 0.2800 1
Sm1 Sm 0.5000 0.0000 0.3497 1
Sm2 Sm 0.0000 0.0000 0.0000 1
Sm3 Sm 0.0000 0.5000 0.6503 1
Ho1 Ho 0.5000 0.5000 0.0000 1
# **Formation enthalpy at 0 K**: -0.63 eV per atom
# **Distance to the lowest polymorph of the same formula**: 0 meV/atom
# **ρ**: 9.2 Mg/m³

***

No. 11
# Nd4HoTl7 | the Alexandria database | GGA-PBE | optimized geometry
data_Nd4HoTl7
_cell_length_a 5.7194
_cell_length_b 10.2459
_cell_length_c 7.3994
_cell_angle_alpha 81.80
_cell_angle_beta 67.26
_cell_angle_gamma 73.79
_space_group_name_H-M_alt 'P 1'
_space_group_IT_number 1
_space_group_name_Hall 'P 1'
loop_
_atom_site_label
_atom_site_type_symbol
_atom_site_fract_x
_atom_site_fract_y
_atom_site_fract_z
_atom_site_occupancy
Tl1 Tl 0.3700 0.5354 0.7246 1
Tl2 Tl 0.2166 0.0982 0.4687 1
Tl3 Tl 0.5000 0.0000 0.0000 1
Tl4 Tl 0.6300 0.4646 0.2754 1
Tl5 Tl 0.7834 0.9018 0.5313 1
Tl6 Tl 0.9167 0.3173 0.8494 1
Tl7 Tl 0.0833 0.6827 0.1506 1
Nd1 Nd 0.7275 0.6691 0.8759 1
Nd2 Nd 0.4123 0.7819 0.3935 1
Nd3 Nd 0.2725 0.3309 0.1241 1
Nd4 Nd 0.5877 0.2181 0.6065 1
Ho1 Ho 0.0000 0.0000 0.0000 1
# **Formation enthalpy at 0 K**: -0.16 eV per atom
# **ρ**: 9.4 Mg/m³

***

No. 12
# PaSb2Se6 | the Alexandria database | GGA-PBE | optimized geometry
data_PaSb2Se6
_cell_length_a 4.0273
_cell_length_b 7.7794
_cell_length_c 9.3634
_cell_angle_alpha 101.00
_cell_angle_beta 102.42
_cell_angle_gamma 90.00
_space_group_name_H-M_alt 'P 1'
_space_group_IT_number 1
_space_group_name_Hall 'P 1'
loop_
_atom_site_label
_atom_site_type_symbol
_atom_site_fract_x
_atom_site_fract_y
_atom_site_fract_z
_atom_site_occupancy
Pa1 Pa 0.5000 0.0000 0.0000 1
Se1 Se 0.3244 0.3987 0.6488 1
Se2 Se 0.0039 0.2497 0.0079 1
Se3 Se 0.6756 0.6013 0.3512 1
Se4 Se 0.6567 0.0719 0.3134 1
Se5 Se 0.3433 0.9281 0.6866 1
Se6 Se 0.9961 0.7503 0.9921 1
Sb1 Sb 0.8287 0.6597 0.6574 1
Sb2 Sb 0.1713 0.3403 0.3426 1
# **Uncorrected formation energy**: -5.51 eV per formula unit
# **Distance to the lowest polymorph of the same formula**: 0 meV/atom
# **ρ**: 5.6 Mg/m³